1.
This record from Alexandria via LeMat-Bulk describes a relaxed structure of Tb2ScGa3. The functional is GGA-PBE.

a = 7.9289 Å, b = 7.9289 Å, c = 7.9289 Å
α = 154.76°, β = 136.64°, γ = 50.83°
Atoms (fractional coordinates):
Tb: 0.1703 0.1703 0.0000
Tb: 0.8297 0.8297 0.0000
Sc: 0.5000 0.5000 0.0000
Ga: 0.0000 0.5000 0.5000
Ga: 0.3430 0.8430 0.5000
Ga: 0.6570 0.1570 0.5000

Results
polymorph energy (0 for the lowest one)	239.0	meV per atom
spin magnetization	0.0	μB/cell
DFT total energy	-26.69	eV/cell
calculated density	6.53	g/cm³
calculated formation energy	-0.34	eV/atom



2.
This record from Alexandria via LeMat-Bulk describes a relaxed structure of TbSc2Ga. The functional is GGA-PBE.

a = 10.9028 Å, b = 10.9028 Å, c = 10.9028 Å
α = 17.37°, β = 17.37°, γ = 17.37°
Atoms (fractional coordinates):
Tb: 0.0000 0.0000 0.0000
Sc: 0.1017 0.1017 0.1017
Sc: 0.8983 0.8983 0.8983
Ga: 0.5000 0.5000 0.5000

Results
polymorph energy (0 for the lowest one)	287.3	meV per atom
spin magnetization	0.0	μB/cell
DFT total energy	-20.34	eV/cell
calculated density	5.25	g/cm³
calculated formation energy	0.00	eV/atom



3.
This record from Alexandria via LeMat-Bulk describes a relaxed structure of Tb2ScGa2. The functional is GGA-PBE.

a = 5.8642 Å, b = 5.8642 Å, c = 5.8642 Å
α = 136.49°, β = 115.65°, γ = 80.90°
Atoms (fractional coordinates):
Tb: 0.2030 0.2030 0.0000
Tb: 0.7970 0.7970 0.0000
Sc: 0.5000 0.0000 0.5000
Ga: 0.2102 0.5000 0.7102
Ga: 0.7898 0.5000 0.2898

Results
polymorph energy (0 for the lowest one)	29.7	meV per atom
spin magnetization	0.0	μB/cell
DFT total energy	-24.24	eV/cell
calculated density	6.88	g/cm³
calculated formation energy	-0.52	eV/atom



4.
This record from Alexandria via LeMat-Bulk describes a relaxed structure of TbSc5Ga2. The functional is GGA-PBE.

a = 7.0669 Å, b = 7.0669 Å, c = 7.0669 Å
α = 144.95°, β = 103.88°, γ = 86.64°
Atoms (fractional coordinates):
Tb: 0.0000 0.0000 0.0000
Sc: 0.1569 0.3435 0.8134
Sc: 0.4700 0.6565 0.8134
Sc: 0.5000 0.0000 0.5000
Sc: 0.5300 0.3435 0.1866
Sc: 0.8431 0.6565 0.1866
Ga: 0.2223 0.7223 0.5000
Ga: 0.7777 0.2777 0.5000

Results
spin magnetization	0.8	μB/cell
DFT total energy	-44.33	eV/cell
calculated density	4.56	g/cm³
calculated formation energy	-0.25	eV/atom



5.
This record from Alexandria via LeMat-Bulk describes a relaxed structure of TbSc2Ga6. The functional is GGA-PBE.

a = 7.5442 Å, b = 7.5442 Å, c = 7.5442 Å
α = 147.91°, β = 125.95°, γ = 64.26°
Atoms (fractional coordinates):
Tb: 0.0000 0.0000 0.0000
Sc: 0.3784 0.8784 0.5000
Sc: 0.6216 0.1216 0.5000
Ga: 0.0066 0.3104 0.6963
Ga: 0.3157 0.5000 0.8157
Ga: 0.3859 0.6896 0.6963
Ga: 0.6141 0.3104 0.3037
Ga: 0.6843 0.5000 0.1843
Ga: 0.9934 0.6896 0.3037

Results
polymorph energy (0 for the lowest one)	75.7	meV per atom
spin magnetization	0.0	μB/cell
DFT total energy	-39.86	eV/cell
calculated density	6.06	g/cm³
calculated formation energy	-0.49	eV/atom



6.
This record from Alexandria via LeMat-Bulk describes a relaxed structure of TbSc2Ga. The functional is GGA-PBE.

a = 3.3383 Å, b = 3.3383 Å, c = 8.4380 Å
α = 90.00°, β = 90.00°, γ = 90.00°
Atoms (fractional coordinates):
Tb: 0.0000 0.0000 0.0000
Sc: 0.5000 0.5000 0.2944
Sc: 0.5000 0.5000 0.7056
Ga: 0.0000 0.0000 0.5000

Results
polymorph energy (0 for the lowest one)	0.0	meV per atom
spin magnetization	0.0	μB/cell
DFT total energy	-21.49	eV/cell
calculated density	5.63	g/cm³
calculated formation energy	-0.29	eV/atom